Pm2Pr3Y6Th: optimized geometry, PBE.

a b c (Å): 6.290 6.290 11.895
angles (deg): 95.06 95.06 119.97
Fractional positions:
Pm  0.167  0.833  0.000
Pm  0.833  0.167  0.000
Pr  0.000  0.000  0.500
Pr  0.333  0.667  0.500
Pr  0.667  0.333  0.500
Y  0.088  0.418  0.753
Y  0.253  0.253  0.247
Y  0.418  0.088  0.753
Y  0.582  0.912  0.247
Y  0.747  0.747  0.753
Y  0.912  0.582  0.247
Th  0.500  0.500  0.000

Calculated values
Energy of formation, eV per atom: 0.02
Energy, eV/cell: -69.816
Size of the total moment, μB per formula unit: 0.0
Crystal system: monoclinic